Entry from Alexandria via LeMat-Bulk: a relaxed structure of Fe3GeO6 (GGA+U).

- Energy: -128.83 eV/cell
- Symmetry: P2_1/c (14)
- Energy above the lowest structure with this stoichiometry: 148 meV/atom

abc: 4.8533 5.1057 8.2948
angles: 90.00 89.47 90.00
Each line ends with the local moment (μB).
Fractional positions:
O (0.2927, 0.8014, 0.0809)  0.14
O (0.7927, 0.6986, 0.5809)  0.14
O (0.2073, 0.3014, 0.4191)  0.14
O (0.6918, 0.2047, 0.6002)  0.15
O (0.1918, 0.2953, 0.1002)  0.15
O (0.6706, 0.4146, 0.2959)  0.20
O (0.3294, 0.5854, 0.7041)  0.20
O (0.3082, 0.7953, 0.3998)  0.15
O (0.7073, 0.1986, 0.9191)  0.14
O (0.1706, 0.0854, 0.7959)  0.20
O (0.8294, 0.9146, 0.2041)  0.20
O (0.8082, 0.7047, 0.8998)  0.15
Fe (0.5000, 0.5000, 0.0000)  2.06
Fe (0.0398, 0.5678, 0.2564)  4.31
Fe (0.9602, 0.4322, 0.7436)  4.31
Fe (0.5398, 0.9322, 0.7564)  4.31
Fe (0.4602, 0.0678, 0.2436)  4.31
Fe (0.0000, 0.0000, 0.5000)  2.06
Ge (0.0000, 0.0000, 0.0000)  0.03
Ge (0.5000, 0.5000, 0.5000)  0.03